Entry 1:
{"formula": "SiNi4P", "functional": "PBE", "state": "relaxed", "formation_energy_uncorrected_kj_per_mol_atoms": -43.9, "e_above_lowest_polymorph_mev_per_atom": 55, "lattice_angstrom": [[0.000, 3.719, 5.347], [3.705, 0.000, 5.347], [3.705, 3.719, 0.000]], "species": ["Si", "Si", "Ni", "Ni", "Ni", "Ni", "Ni", "Ni", "Ni", "Ni", "P", "P"], "fractional_positions": [[0.125, 0.125, 0.125], [0.875, 0.875, 0.875], [0.000, 0.500, 0.255], [0.000, 0.500, 0.745], [0.255, 0.744, 0.000], [0.256, 0.745, 0.500], [0.500, 0.000, 0.256], [0.500, 0.000, 0.744], [0.744, 0.255, 0.500], [0.745, 0.256, 0.000], [0.375, 0.375, 0.375], [0.625, 0.625, 0.625]]}

=====

Entry 2:
{"formula": "RbSrAgSb2", "functional": "PBE", "state": "relaxed", "formation_energy_uncorrected_kj_per_mol_atoms": 51.9, "lattice_angstrom": [[6.085, 0.000, 0.000], [0.000, 6.085, 0.000], [0.000, 0.000, 6.466]], "species": ["Rb", "Sr", "Ag", "Sb", "Sb"], "fractional_positions": [[0.000, 0.000, 0.000], [0.000, 0.000, 0.500], [0.500, 0.500, 0.000], [0.000, 0.500, 0.500], [0.500, 0.000, 0.500]]}

=====

Entry 3:
{"formula": "Tb4ZnRu2", "functional": "PBE", "state": "relaxed", "e_above_lowest_polymorph_mev_per_atom": 0, "formation_enthalpy_0k_ev_per_atom": -0.32, "lattice_angstrom": [[2.438, 1.407, 7.891], [-2.438, 1.407, 7.891], [0.000, -2.815, 7.891]], "species": ["Tb", "Tb", "Tb", "Tb", "Zn", "Ru", "Ru"], "fractional_positions": [[0.120, 0.120, 0.120], [0.372, 0.372, 0.372], [0.628, 0.628, 0.628], [0.880, 0.880, 0.880], [0.500, 0.500, 0.500], [0.247, 0.247, 0.247], [0.753, 0.753, 0.753]]}

=====

Entry 4:
{"formula": "TbPAu", "functional": "PBE", "state": "relaxed", "formation_enthalpy_0k_ev_per_atom": -0.92, "lattice_angstrom": [[4.215, 0.000, 0.000], [-2.108, 3.650, 0.000], [0.000, 0.000, 3.964]], "species": ["Tb", "P", "Au"], "fractional_positions": [[0.000, 0.000, 0.000], [0.667, 0.333, 0.468], [0.333, 0.667, 0.523]]}

=====

Entry 5:
{"formula": "Pr3Rh4Pb4", "functional": "PBE", "state": "relaxed", "formation_enthalpy_0k_ev_per_atom": -0.45, "lattice_angstrom": [[-2.158, 3.932, 7.693], [2.158, -3.932, 7.693], [2.158, 3.932, -7.693]], "species": ["Pr", "Pr", "Pr", "Rh", "Rh", "Rh", "Rh", "Pb", "Pb", "Pb", "Pb"], "fractional_positions": [[0.000, 0.000, 0.000], [0.383, 0.883, 0.500], [0.617, 0.117, 0.500], [0.217, 0.217, 0.000], [0.313, 0.500, 0.813], [0.687, 0.500, 0.187], [0.783, 0.783, 0.000], [0.034, 0.331, 0.703], [0.372, 0.669, 0.703], [0.628, 0.331, 0.297], [0.966, 0.669, 0.297]]}

=====

Entry 6:
{"formula": "BeRu", "functional": "PBE", "state": "relaxed", "formation_enthalpy_0k_ev_per_atom": 0.05, "lattice_angstrom": [[2.790, 0.000, 0.000], [-1.395, 2.417, 0.000], [0.000, 0.000, 6.797]], "species": ["Be", "Be", "Ru", "Ru"], "fractional_positions": [[0.333, 0.667, 0.105], [0.667, 0.333, 0.895], [0.333, 0.667, 0.655], [0.667, 0.333, 0.345]]}

=====

no.,VASP energy (eV/atom)
1,-6.115
2,-2.211
3,-5.794
4,-5.359
5,-5.780
6,-6.452